Here is a geometry-optimized Tb2PmSc4 structure from Alexandria. Energies are from GGA-PBE.

Unit cell a=8.3739 b=8.9784 c=8.2049 alpha=111.86 beta=114.21 gamma=113.98
Sites, in units of the cell vectors:
1 Pm 0.2315 0.7765 0.4464
2 Tb 0.7206 0.2781 0.9505
3 Sc 0.7346 0.6942 0.1079
4 Tb 0.4758 0.8667 0.0121
5 Sc 0.2312 0.0521 0.8888
6 Sc 0.4838 0.5798 0.5976
7 Tb 0.7224 0.5565 0.3897
8 Pm 0.9881 0.0838 0.0885
9 Sc 0.9759 0.3772 0.5090
10 Sc 0.7489 0.9753 0.5416
11 Sc 0.4866 0.1713 0.4119
12 Sc 0.9776 0.6653 0.9049
13 Sc 0.2436 0.4716 0.0376
14 Tb 0.2293 0.2016 0.6134

Summary:
spin magnetization = 0.0 μB per formula unit
energy relative to the lowest polymorph listed for this composition = 0.000 eV per atom
DFT formation energy = 5.85 kJ per mole of atoms
V = 392.0 Å³/cell
symmetry = P1, No. 1
VASP energy = -5.5590 eV per atom